Material: LiZr2Sc
Method: DFT, GGA-PBE
State: relaxed

Lattice parameters (Å, degrees): 3.0671 3.0671 10.8039 90.00 90.00 115.85
Closest atoms and distances in Å follow each position.
Element x y z (fractional)
Li  0.0000  0.0000  0.4987  6 Li 3.07-3.26, 2 Zr 3.20, 2 Sc 3.21
Sc  0.5000  0.5000  0.7549  6 Sc 3.07-3.26, 2 Zr 3.13, 2 Li 3.21
Zr  0.0000  0.0000  0.0027  8 Zr 3.07-3.26, 2 Sc 3.13
Zr  0.5000  0.5000  0.2437  8 Zr 3.07-3.26, 2 Li 3.20

## Properties
V: 22.87 A^3/atom
SG: Cmm2 (35)
energy of formation from the pure elements: 141 meV per atom